Below is crystalline BaNiO3 at its relaxed geometry, with properties calculated at the PBE with a Hubbard U level.

Cell and atoms, written as POSCAR:
```
BaNiO3
1.0
5.7144 0.0000 0.0000
0.0000 5.3270 0.0000
-2.7824 0.0000 5.0070
Ba Ni O
2 2 6
Direct
0.1821 0.2500 0.3184 Ba
0.8179 0.7500 0.6816 Ba
0.4759 0.7500 0.0239 Ni
0.5241 0.2500 0.9761 Ni
0.2861 0.9998 0.7846 O
0.2861 0.5002 0.7846 O
0.2895 0.7500 0.2071 O
0.7105 0.2500 0.7929 O
0.7139 0.0002 0.2154 O
0.7139 0.4998 0.2154 O
```

## Properties
Magnetic moment in μB per formula unit: 0.03
Crystal system: monoclinic
E_tot in eV/atom: -5.211
Volume in Å³ per atom: 15.2
Space group: P2_1/m, No. 11